(1)
{
  "formula": "Dy4NiSb",
  "functional": "PBE-GGA",
  "state": "optimized geometry",
  "space_group": "C2/c",
  "volume_a3_per_atom": 27.4,
  "raw_formation_energy_ev_per_atom": -0.393,
  "lattice": [[-5.350, -2.225, 1.871], [3.393, -3.536, 5.498], [0.736, 8.022, 1.736]],
  "species": ["Dy", "Dy", "Dy", "Sb", "Dy", "Ni", "Dy", "Sb", "Dy", "Dy", "Ni", "Dy"],
  "frac_coords": [[0.920, 0.356, 0.647], [0.696, 0.950, 0.167], [0.080, 0.644, 0.353], [0.870, 0.250, 0.000], [0.273, 0.144, 0.353], [0.500, 0.500, 0.500], [0.727, 0.856, 0.647], [0.130, 0.750, 0.000], [0.472, 0.450, 0.167], [0.304, 0.050, 0.833], [0.000, 0.000, 0.500], [0.528, 0.550, 0.833]]
}

***

(2)
{
  "formula": "Dy7Ni2Sb2",
  "functional": "PBE-GGA",
  "state": "optimized geometry",
  "space_group": "Cmmm",
  "volume_a3_per_atom": 27.7,
  "raw_formation_energy_ev_per_atom": -0.383,
  "lattice": [[6.806, -0.003, -0.723], [0.003, 6.768, 0.003], [-1.145, -0.002, 6.748]],
  "species": ["Dy", "Dy", "Dy", "Ni", "Ni", "Dy", "Dy", "Dy", "Dy", "Sb", "Sb"],
  "frac_coords": [[0.500, 0.248, 0.000], [0.000, 0.000, 0.000], [0.000, 0.248, 0.500], [0.283, 0.000, 0.717], [0.717, 0.000, 0.283], [0.000, 0.752, 0.500], [0.500, 0.768, 0.500], [0.500, 0.232, 0.500], [0.500, 0.752, 0.000], [0.193, 0.500, 0.193], [0.807, 0.500, 0.807]]
}

***

(3)
{
  "formula": "Dy12NiSb6",
  "functional": "PBE-GGA",
  "state": "optimized geometry",
  "space_group": "R-3",
  "volume_a3_per_atom": 31.0,
  "raw_formation_energy_ev_per_atom": -0.637,
  "lattice": [[-0.852, -8.459, 0.611], [8.316, 0.749, 1.713], [-3.248, 2.333, 7.527]],
  "species": ["Dy", "Sb", "Sb", "Sb", "Dy", "Dy", "Dy", "Dy", "Dy", "Dy", "Sb", "Dy", "Ni", "Dy", "Dy", "Sb", "Dy", "Sb", "Dy"],
  "frac_coords": [[0.014, 0.691, 0.943], [0.880, 0.358, 0.686], [0.314, 0.120, 0.642], [0.642, 0.314, 0.120], [0.943, 0.014, 0.691], [0.548, 0.196, 0.415], [0.415, 0.548, 0.196], [0.452, 0.804, 0.585], [0.986, 0.309, 0.057], [0.804, 0.585, 0.452], [0.120, 0.642, 0.314], [0.691, 0.943, 0.014], [0.000, 0.000, 0.000], [0.585, 0.452, 0.804], [0.309, 0.057, 0.986], [0.686, 0.880, 0.358], [0.196, 0.415, 0.548], [0.358, 0.686, 0.880], [0.057, 0.986, 0.309]]
}

***

(4)
{
  "formula": "DyNiSb",
  "functional": "PBE-GGA",
  "state": "optimized geometry",
  "space_group": "F-43m",
  "volume_a3_per_atom": 21.4,
  "raw_formation_energy_ev_per_atom": -0.907,
  "lattice": [[-3.894, -2.193, -0.467], [-0.901, -3.556, 2.595], [-3.141, 0.292, 3.200]],
  "species": ["Ni", "Dy", "Sb"],
  "frac_coords": [[0.750, 0.750, 0.750], [0.500, 0.500, 0.500], [0.000, 0.000, 0.000]]
}

***

(5)
{
  "formula": "Dy2NiSb4",
  "functional": "PBE-GGA",
  "state": "optimized geometry",
  "space_group": "P-4m2",
  "volume_a3_per_atom": 25.0,
  "raw_formation_energy_ev_per_atom": -0.733,
  "lattice": [[4.345, 0.000, 0.000], [0.000, 4.345, 0.000], [0.000, 0.000, 9.283]],
  "species": ["Sb", "Dy", "Ni", "Sb", "Dy", "Sb", "Sb"],
  "frac_coords": [[0.000, 0.500, 0.132], [0.000, 0.500, 0.766], [0.500, 0.500, 0.000], [0.500, 0.000, 0.868], [0.500, 0.000, 0.234], [0.500, 0.500, 0.500], [0.000, 0.000, 0.500]]
}

***

(6)
{
  "formula": "Dy12Ni6Sb",
  "functional": "PBE-GGA",
  "state": "optimized geometry",
  "space_group": "Im-3",
  "volume_a3_per_atom": 24.1,
  "raw_formation_energy_ev_per_atom": -0.423,
  "lattice": [[7.933, 0.000, -2.805], [-3.967, 6.870, -2.805], [0.000, 0.000, 8.415]],
  "species": ["Dy", "Ni", "Dy", "Dy", "Ni", "Ni", "Dy", "Dy", "Dy", "Dy", "Ni", "Ni", "Dy", "Dy", "Sb", "Dy", "Dy", "Ni", "Dy"],
  "frac_coords": [[0.188, 0.305, 0.493], [0.876, 0.376, 0.500], [0.882, 0.188, 0.695], [0.188, 0.695, 0.882], [0.500, 0.876, 0.376], [0.124, 0.624, 0.500], [0.305, 0.493, 0.188], [0.695, 0.882, 0.188], [0.812, 0.305, 0.118], [0.305, 0.118, 0.812], [0.376, 0.500, 0.876], [0.500, 0.124, 0.624], [0.812, 0.695, 0.507], [0.507, 0.812, 0.695], [0.000, 0.000, 0.000], [0.118, 0.812, 0.305], [0.695, 0.507, 0.812], [0.624, 0.500, 0.124], [0.493, 0.188, 0.305]]
}

***

(7)
{
  "formula": "DyNi2Sb2",
  "functional": "PBE-GGA",
  "state": "optimized geometry",
  "space_group": "P4/nmm",
  "volume_a3_per_atom": 19.5,
  "raw_formation_energy_ev_per_atom": -0.563,
  "lattice": [[4.406, 0.000, 0.000], [0.000, 4.406, 0.000], [0.000, 0.000, 10.062]],
  "species": ["Sb", "Sb", "Sb", "Dy", "Ni", "Sb", "Ni", "Ni", "Ni", "Dy"],
  "frac_coords": [[0.000, 0.500, 0.873], [0.500, 0.000, 0.127], [0.000, 0.000, 0.500], [0.500, 0.000, 0.767], [0.500, 0.000, 0.372], [0.500, 0.500, 0.500], [0.500, 0.500, 0.000], [0.000, 0.500, 0.628], [0.000, 0.000, 0.000], [0.000, 0.500, 0.233]]
}

***

(8)
{
  "formula": "Dy3Ni3Sb4",
  "functional": "PBE-GGA",
  "state": "optimized geometry",
  "space_group": "I-43d",
  "volume_a3_per_atom": 21.3,
  "raw_formation_energy_ev_per_atom": -0.802,
  "lattice": [[-4.637, 5.275, -4.262], [-4.776, -4.393, 5.038], [5.535, 4.167, 4.415]],
  "species": ["Ni", "Sb", "Sb", "Dy", "Ni", "Sb", "Sb", "Dy", "Dy", "Ni", "Dy", "Ni", "Sb", "Ni", "Sb", "Dy", "Ni", "Sb", "Dy", "Sb"],
  "frac_coords": [[0.125, 0.750, 0.375], [0.000, 0.000, 0.856], [0.356, 0.500, 0.000], [0.250, 0.875, 0.125], [0.750, 0.125, 0.875], [0.644, 0.144, 0.144], [0.144, 0.644, 0.644], [0.125, 0.375, 0.250], [0.375, 0.125, 0.750], [0.250, 0.375, 0.625], [0.625, 0.750, 0.875], [0.375, 0.250, 0.125], [0.500, 0.856, 0.500], [0.875, 0.625, 0.750], [0.000, 0.000, 0.356], [0.750, 0.625, 0.375], [0.625, 0.875, 0.250], [0.856, 0.500, 0.000], [0.875, 0.250, 0.625], [0.500, 0.356, 0.500]]
}

***

(9)
{
  "formula": "Dy5Ni2Sb",
  "functional": "PBE-GGA",
  "state": "optimized geometry",
  "space_group": "I4/mcm",
  "volume_a3_per_atom": 24.4,
  "raw_formation_energy_ev_per_atom": -0.537,
  "lattice": [[8.581, -0.041, 0.000], [1.800, 8.390, 0.000], [-5.190, -4.175, 5.409]],
  "species": ["Dy", "Dy", "Sb", "Sb", "Ni", "Dy", "Dy", "Dy", "Dy", "Ni", "Ni", "Dy", "Dy", "Ni", "Dy", "Dy"],
  "frac_coords": [[0.020, 0.520, 0.814], [0.294, 0.794, 0.814], [0.750, 0.750, 0.000], [0.250, 0.250, 0.000], [0.370, 0.870, 0.240], [0.480, 0.294, 0.500], [0.706, 0.206, 0.186], [0.206, 0.020, 0.500], [0.000, 0.000, 0.000], [0.870, 0.630, 0.500], [0.630, 0.130, 0.760], [0.500, 0.500, 0.000], [0.794, 0.980, 0.500], [0.130, 0.370, 0.500], [0.980, 0.480, 0.186], [0.520, 0.706, 0.500]]
}

***

(10)
{
  "formula": "DyNiSb",
  "functional": "PBE-GGA",
  "state": "optimized geometry",
  "space_group": "P3m1",
  "volume_a3_per_atom": 21.4,
  "raw_formation_energy_ev_per_atom": -0.789,
  "lattice": [[4.027, 0.000, 0.000], [0.000, 4.294, 0.000], [0.000, -2.147, 3.719]],
  "species": ["Ni", "Dy", "Sb"],
  "frac_coords": [[0.175, 0.667, 0.333], [0.663, 0.333, 0.667], [0.162, 0.000, 0.000]]
}

***

(11)
{
  "formula": "Dy8Ni2Sb",
  "functional": "PBE-GGA",
  "state": "optimized geometry",
  "space_group": "C2/m",
  "volume_a3_per_atom": 26.8,
  "raw_formation_energy_ev_per_atom": -0.259,
  "lattice": [[5.404, -0.043, -0.065], [-0.952, 7.785, -0.184], [-0.952, -3.168, 7.114]],
  "species": ["Dy", "Dy", "Dy", "Ni", "Ni", "Sb", "Dy", "Dy", "Dy", "Dy", "Dy"],
  "frac_coords": [[0.085, 0.334, 0.077], [0.915, 0.666, 0.923], [0.085, 0.077, 0.334], [0.000, 0.697, 0.303], [0.000, 0.303, 0.697], [0.500, 0.000, 0.000], [0.699, 0.394, 0.394], [0.500, 0.753, 0.247], [0.500, 0.247, 0.753], [0.915, 0.923, 0.666], [0.301, 0.606, 0.606]]
}

***

(12)
{
  "formula": "DyNi4Sb2",
  "functional": "PBE-GGA",
  "state": "optimized geometry",
  "space_group": "P4_2/mnm",
  "volume_a3_per_atom": 16.4,
  "raw_formation_energy_ev_per_atom": -0.419,
  "lattice": [[-0.392, 2.774, 2.938], [-5.721, 3.143, -3.732], [-4.825, -4.501, 3.606]],
  "species": ["Ni", "Dy", "Ni", "Ni", "Ni", "Sb", "Ni", "Sb", "Sb", "Ni", "Ni", "Dy", "Sb", "Ni"],
  "frac_coords": [[0.000, 0.094, 0.362], [0.000, 0.500, 0.500], [0.500, 0.594, 0.138], [0.500, 0.138, 0.594], [0.500, 0.862, 0.406], [0.000, 0.217, 0.783], [0.000, 0.906, 0.638], [0.500, 0.717, 0.717], [0.500, 0.283, 0.283], [0.000, 0.638, 0.906], [0.500, 0.406, 0.862], [0.500, 0.000, 0.000], [0.000, 0.783, 0.217], [0.000, 0.362, 0.094]]
}

***

(13)
{
  "formula": "Dy4NiSb2",
  "functional": "PBE-GGA",
  "state": "optimized geometry",
  "space_group": "C2/m",
  "volume_a3_per_atom": 29.9,
  "raw_formation_energy_ev_per_atom": -0.582,
  "lattice": [[-0.884, -3.393, 2.338], [1.549, -4.403, -5.805], [6.005, 3.690, 3.827]],
  "species": ["Dy", "Dy", "Dy", "Ni", "Dy", "Sb", "Sb"],
  "frac_coords": [[0.888, 0.190, 0.776], [0.112, 0.810, 0.224], [0.616, 0.246, 0.232], [0.000, 0.000, 0.000], [0.384, 0.754, 0.768], [0.728, 0.725, 0.456], [0.272, 0.275, 0.544]]
}

***

(14)
{
  "formula": "Dy6Ni2Sb",
  "functional": "PBE-GGA",
  "state": "optimized geometry",
  "space_group": "Immm",
  "volume_a3_per_atom": 25.6,
  "raw_formation_energy_ev_per_atom": -0.440,
  "lattice": [[8.438, -0.112, -0.026], [-3.300, 7.767, 0.026], [-2.781, -3.685, 7.064]],
  "species": ["Dy", "Dy", "Dy", "Ni", "Dy", "Dy", "Sb", "Sb", "Ni", "Dy", "Ni", "Ni", "Dy", "Dy", "Dy", "Dy", "Dy", "Dy"],
  "frac_coords": [[0.204, 0.230, 0.434], [0.688, 0.361, 0.673], [0.475, 0.294, 0.181], [0.351, 0.000, 0.351], [0.113, 0.294, 0.819], [0.796, 0.770, 0.566], [0.000, 0.000, 0.000], [0.000, 0.500, 0.500], [0.500, 0.624, 0.124], [0.796, 0.230, 0.026], [0.500, 0.376, 0.876], [0.649, 0.000, 0.649], [0.312, 0.639, 0.327], [0.312, 0.985, 0.673], [0.525, 0.706, 0.819], [0.204, 0.770, 0.974], [0.688, 0.015, 0.327], [0.887, 0.706, 0.181]]
}

***

(15)
{
  "formula": "DyNi5Sb",
  "functional": "PBE-GGA",
  "state": "optimized geometry",
  "space_group": "Pnma",
  "volume_a3_per_atom": 14.3,
  "raw_formation_energy_ev_per_atom": -0.370,
  "lattice": [[4.936, 0.000, 0.000], [0.000, 8.007, 0.000], [0.000, 0.000, 10.149]],
  "species": ["Dy", "Ni", "Ni", "Ni", "Ni", "Sb", "Ni", "Dy", "Ni", "Ni", "Ni", "Sb", "Ni", "Ni", "Dy", "Ni", "Ni", "Ni", "Ni", "Ni", "Ni", "Ni", "Sb", "Ni", "Dy", "Sb", "Ni", "Ni"],
  "frac_coords": [[0.750, 0.247, 0.443], [0.750, 0.317, 0.749], [0.250, 0.088, 0.481], [0.750, 0.412, 0.981], [0.750, 0.062, 0.905], [0.750, 0.144, 0.143], [0.001, 0.567, 0.808], [0.250, 0.753, 0.557], [0.750, 0.562, 0.595], [0.250, 0.438, 0.405], [0.999, 0.433, 0.192], [0.750, 0.644, 0.357], [0.001, 0.067, 0.692], [0.501, 0.433, 0.192], [0.250, 0.253, 0.943], [0.250, 0.588, 0.019], [0.499, 0.067, 0.692], [0.999, 0.933, 0.308], [0.250, 0.683, 0.251], [0.750, 0.912, 0.519], [0.499, 0.567, 0.808], [0.501, 0.933, 0.308], [0.250, 0.856, 0.857], [0.750, 0.817, 0.751], [0.750, 0.747, 0.057], [0.250, 0.356, 0.643], [0.250, 0.183, 0.249], [0.250, 0.938, 0.095]]
}

***

(16)
{
  "formula": "Dy4NiSb",
  "functional": "PBE-GGA",
  "state": "optimized geometry",
  "space_group": "P2_1/m",
  "volume_a3_per_atom": 26.6,
  "raw_formation_energy_ev_per_atom": -0.512,
  "lattice": [[-5.429, 2.572, 0.548], [-0.713, -0.115, -6.522], [-0.761, -8.549, 0.234]],
  "species": ["Dy", "Dy", "Dy", "Ni", "Dy", "Dy", "Dy", "Sb", "Ni", "Dy", "Sb", "Dy"],
  "frac_coords": [[0.601, 0.250, 0.878], [0.438, 0.750, 0.587], [0.399, 0.750, 0.122], [0.249, 0.250, 0.565], [0.988, 0.499, 0.292], [0.012, 0.999, 0.708], [0.988, 0.001, 0.292], [0.789, 0.750, 0.951], [0.751, 0.750, 0.435], [0.012, 0.501, 0.708], [0.211, 0.250, 0.049], [0.562, 0.250, 0.413]]
}

***

(17)
{
  "formula": "Dy2ScNi",
  "functional": "PBE-GGA",
  "state": "optimized geometry",
  "space_group": "R-3m",
  "volume_a3_per_atom": 26.2,
  "delta_e_f_ev_per_fu": 0.57,
  "lattice": [[3.471, 0.000, 0.000], [1.736, 3.006, 0.000], [1.736, 1.002, 10.058]],
  "species": ["Ni", "Dy", "Dy", "Sc"],
  "frac_coords": [[0.500, 0.500, 0.500], [0.893, 0.893, 0.321], [0.107, 0.107, 0.679], [0.000, 0.000, 0.000]]
}

***

(18)
{
  "formula": "Dy2ScNi",
  "functional": "PBE-GGA",
  "state": "optimized geometry",
  "space_group": "Pnma",
  "volume_a3_per_atom": 24.0,
  "delta_e_f_ev_per_fu": -0.97,
  "lattice": [[6.240, 0.000, 0.000], [0.000, 6.668, 0.000], [0.000, 0.000, 9.246]],
  "species": ["Dy", "Sc", "Sc", "Dy", "Dy", "Ni", "Ni", "Ni", "Dy", "Ni", "Dy", "Dy", "Sc", "Dy", "Dy", "Sc"],
  "frac_coords": [[0.318, 0.187, 0.063], [0.136, 0.962, 0.750], [0.636, 0.538, 0.250], [0.818, 0.313, 0.937], [0.682, 0.813, 0.937], [0.974, 0.603, 0.750], [0.026, 0.397, 0.250], [0.526, 0.103, 0.750], [0.818, 0.313, 0.563], [0.474, 0.897, 0.250], [0.182, 0.687, 0.437], [0.682, 0.813, 0.563], [0.364, 0.462, 0.750], [0.182, 0.687, 0.063], [0.318, 0.187, 0.437], [0.864, 0.038, 0.250]]
}

***

(19)
{
  "formula": "DySc2Ni",
  "functional": "PBE-GGA",
  "state": "optimized geometry",
  "space_group": "R-3m",
  "volume_a3_per_atom": 23.5,
  "delta_e_f_ev_per_fu": -0.24,
  "lattice": [[-2.677, -0.177, -2.220], [-0.922, -3.064, -1.375], [-6.798, -2.474, 5.663]],
  "species": ["Ni", "Dy", "Sc", "Sc"],
  "frac_coords": [[0.000, 0.000, 0.000], [0.500, 0.500, 0.500], [0.274, 0.274, 0.178], [0.726, 0.726, 0.822]]
}

***

(20)
{
  "formula": "DySc2Ni",
  "functional": "PBE-GGA",
  "state": "optimized geometry",
  "space_group": "R3m",
  "volume_a3_per_atom": 23.6,
  "delta_e_f_ev_per_fu": -0.36,
  "lattice": [[-3.095, 1.431, -1.169], [-2.735, -2.149, -0.949], [-4.833, -0.045, 7.185]],
  "species": ["Dy", "Sc", "Sc", "Ni"],
  "frac_coords": [[0.502, 0.502, 0.495], [0.275, 0.275, 0.176], [0.058, 0.058, 0.827], [0.666, 0.666, 0.003]]
}